Density functional theory data (PBE+U) for an optimized crystal structure of CaV2O4.

Lattice parameters (Å, degrees): 5.259 6.038 11.159 90.02 90.01 91.23
Site moments in Bohr magnetons follow the coordinates.
Element x y z (fractional)
Ca (0.843, 0.245, 0.750)  0.01
Ca (0.157, 0.755, 0.250)  0.01
Ca (0.529, 0.261, 0.250)  0.01
Ca (0.471, 0.739, 0.750)  0.01
V (0.509, 0.750, 0.489)  1.92
V (0.509, 0.751, 0.011)  1.92
V (0.491, 0.249, 0.511)  1.92
V (0.491, 0.250, 0.989)  1.92
V (0.000, 0.500, 0.500)  1.90
V (0.000, 0.000, 0.000)  1.88
V (0.000, 0.000, 0.500)  1.88
V (0.000, 0.500, 0.000)  1.90
O (0.845, 0.746, 0.401)  -0.02
O (0.845, 0.747, 0.099)  -0.02
O (0.155, 0.253, 0.599)  -0.02
O (0.155, 0.253, 0.901)  -0.02
O (0.183, 0.753, 0.588)  -0.03
O (0.183, 0.753, 0.912)  -0.03
O (0.817, 0.247, 0.412)  -0.03
O (0.817, 0.248, 0.088)  -0.03
O (0.662, 0.496, 0.604)  0.00
O (0.663, 0.990, 0.896)  0.00
O (0.337, 0.010, 0.396)  0.00
O (0.338, 0.504, 0.104)  0.00
O (0.338, 0.503, 0.396)  0.00
O (0.337, 0.011, 0.104)  0.00
O (0.663, 0.989, 0.604)  0.00
O (0.662, 0.497, 0.896)  0.00

Total DFT energy (no corrections), eV/atom: -7.6139